Entry 1:
This record from Alexandria via LeMat-Bulk describes CoNiBr at its PBEsol-relaxed geometry. The functional is SCAN.

Values from the calculation:
Density of states at the Fermi level, states/eV/cell: 4.21
Symmetry: No. 156

Cell lengths 3.096, 3.096, 5.277 Å; angles 90.00, 90.00, 120.00 degrees
Fractional positions:
Ni1 0.667 0.333 0.355
Co1 0.333 0.667 0.649
Br1 0.000 0.000 0.996

Entry 2:
This record from Alexandria via LeMat-Bulk describes CoBr2O at its PBEsol-relaxed geometry. The functional is SCAN.

Values from the calculation:
Symmetry: No. 122

Cell lengths 6.164, 5.896, 6.164 Å; angles 58.49, 90.00, 121.51 degrees
Fractional positions:
Co1 0.750 0.500 0.750
Co2 0.000 0.000 0.000
O1 0.250 0.500 0.250
O2 0.500 0.000 0.500
Br1 0.099 0.750 0.875
Br2 0.651 0.750 0.375
Br3 0.375 0.250 0.099
Br4 0.875 0.250 0.651

Entry 3:
This record from Alexandria via LeMat-Bulk describes CoBrO3 at its PBEsol-relaxed geometry. The functional is SCAN.

Values from the calculation:
Density of states at the Fermi level, states/eV/cell: 3.33
Symmetry: No. 221

Cell lengths 3.916, 3.916, 3.916 Å; angles 90.00, 90.00, 90.00 degrees
Fractional positions:
Co1 0.500 0.500 0.500
O1 0.000 0.500 0.000
O2 0.000 0.000 0.500
O3 0.500 0.000 0.000
Br1 0.000 0.000 0.000

Entry 4:
This record from Alexandria via LeMat-Bulk describes CoBr2O at its PBEsol-relaxed geometry. The functional is SCAN.

Values from the calculation:
Density of states at the Fermi level, states/eV/cell: 4.28
Symmetry: No. 225

Cell lengths 4.438, 4.438, 4.438 Å; angles 60.00, 60.00, 60.00 degrees
Fractional positions:
Co1 0.500 0.500 0.500
O1 0.000 0.000 0.000
Br1 0.250 0.250 0.250
Br2 0.750 0.750 0.750

Size of the total moment in μB/f.u., matching the order above: 2.7, 1.0, 2.7, 5.0
Theoretical density in Mg/m³, matching the order above: 7.5, 5.2, 5.2, 6.3
Formation energy from raw total energies in kJ/mol of formula units, matching the order above: 167, 123, 337, 270